Ca2ScP, optimized geometry, DFT PBE-GGA; magnetization = 1.9 μB per cell; final energy = -4.220 eV/atom; formation energy from the elements = -284 meV/atom
1.0
-8.422 4.487 1.167
-9.203 2.029 -1.900
-9.408 0.665 1.863
Ca Sc P
2 1 1
direct
0.971 0.971 0.971
0.529 0.529 0.529
0.750 0.750 0.750
0.250 0.250 0.250